Dy4GaIr | PBE | relaxed

Structure (CIF):
```
data_Dy4GaIr
_chemical_formula_sum 'Dy64 Ga16 Ir16'
_cell_length_a 13.4497
_cell_length_b 13.4497
_cell_length_c 13.4497
_cell_angle_alpha 90.00
_cell_angle_beta 90.00
_cell_angle_gamma 90.00
_symmetry_space_group_name_H-M 'F -4 3 m'
_symmetry_Int_Tables_number 216
_symmetry_space_group_name_Hall 'F -4 2 3'
loop_
_atom_site_label
_atom_site_fract_x
_atom_site_fract_y
_atom_site_fract_z
Dy1 0.0000 0.0000 0.1889
Dy2 0.0549 0.2500 0.2500
Dy3 0.1036 0.1036 0.6036
Ga1 0.1677 0.1677 0.8323
Ir1 0.1080 0.1080 0.3920
```

- calculated total energy (Ry/atom) = -0.4143
- offset from the most stable computed form (meV per atom) = 0
- M_tot (μB/f.u.) = 0.0
- formation enthalpy at 0 K (eV per atom) = -0.59
- V (Å³/atom) = 25.34